Record 1
First-principles (PBE) data for a geometry-optimized CsMg3Cu4Cl12 structure, as listed in Alexandria via LeMat-Bulk.

```
data_CsMg3Cu4Cl12
_cell_length_a 13.5068
_cell_length_b 13.5068
_cell_length_c 9.9169
_cell_angle_alpha 90.00
_cell_angle_beta 90.00
_cell_angle_gamma 120.00
_symmetry_space_group_name_H-M 'R 3 2'
_symmetry_Int_Tables_number 155
_symmetry_space_group_name_Hall 'R 3 2"'
loop_
_atom_site_label
_atom_site_type_symbol
_atom_site_fract_x
_atom_site_fract_y
_atom_site_fract_z
_atom_site_occupancy
Cs1 Cs 0.0000 0.0000 0.0000 1
Mg1 Mg 0.0000 0.5710 0.0000 1
Cu1 Cu 0.0000 0.0000 0.5000 1
Cu2 Cu 0.0000 0.4180 0.5000 1
Cl1 Cl 0.0000 0.5906 0.5000 1
Cl2 Cl 0.0000 0.8325 0.5000 1
Cl3 Cl 0.0579 0.2193 0.2065 1
```

D(E_F) = 31.69 states/eV per cell
ΔE_f (raw) = -24.11 eV/f.u.

Record 2
First-principles (PBE) data for a geometry-optimized Cs2MgCuCl6 structure, as listed in Alexandria via LeMat-Bulk.

```
data_Cs2MgCuCl6
_cell_length_a 7.304
_cell_length_b 7.304
_cell_length_c 10.061
_cell_angle_alpha 90.00
_cell_angle_beta 90.00
_cell_angle_gamma 90.00
_symmetry_space_group_name_H-M 'I 4/m m m'
_symmetry_Int_Tables_number 139
_symmetry_space_group_name_Hall '-I 4 2'
loop_
_atom_site_label
_atom_site_type_symbol
_atom_site_fract_x
_atom_site_fract_y
_atom_site_fract_z
_atom_site_occupancy
Cs1 Cs 0.000 0.500 0.250 1
Mg1 Mg 0.000 0.000 0.000 1
Cu1 Cu 0.000 0.000 0.500 1
Cl1 Cl 0.000 0.000 0.274 1
Cl2 Cl 0.241 0.241 0.000 1
```

D(E_F) = 2.47 states/eV per cell
ΔE_f (raw) = -14.65 eV/f.u.

Record 3
First-principles (PBE) data for a geometry-optimized CsMnCuCl5 structure, as listed in Alexandria via LeMat-Bulk.

```
data_CsMnCuCl5
_cell_length_a 8.808
_cell_length_b 11.787
_cell_length_c 9.261
_cell_angle_alpha 90.00
_cell_angle_beta 111.93
_cell_angle_gamma 90.00
_symmetry_space_group_name_H-M 'C 1 2/c 1'
_symmetry_Int_Tables_number 15
loop_
_symmetry_equiv_pos_as_xyz
'x,y,z'
'-x,-y,-z'
'-x,y,-z+1/2'
'x,-y,z+1/2'
'x+1/2,y+1/2,z'
'-x+1/2,-y+1/2,-z'
'-x+1/2,y+1/2,-z+1/2'
'x+1/2,-y+1/2,z+1/2'
loop_
_atom_site_label
_atom_site_type_symbol
_atom_site_fract_x
_atom_site_fract_y
_atom_site_fract_z
_atom_site_occupancy
Cs1 Cs 0.000 0.156 0.250 1
Mn1 Mn 0.000 0.500 0.000 1
Cu1 Cu 0.000 0.192 0.750 1
Cl1 Cl 0.000 0.444 0.250 1
Cl2 Cl 0.088 0.313 0.595 1
Cl3 Cl 0.205 0.080 0.918 1
```

D(E_F) = 9.12 states/eV per cell
ΔE_f (raw) = -8.88 eV/f.u.

Record 4
First-principles (PBE) data for a geometry-optimized CsMn3Cu4Cl12 structure, as listed in Alexandria via LeMat-Bulk.

```
data_CsMn3Cu4Cl12
_cell_length_a 13.5376
_cell_length_b 13.5376
_cell_length_c 9.7705
_cell_angle_alpha 90.00
_cell_angle_beta 90.00
_cell_angle_gamma 120.00
_symmetry_space_group_name_H-M 'R 3 2'
_symmetry_Int_Tables_number 155
_symmetry_space_group_name_Hall 'R 3 2"'
loop_
_atom_site_label
_atom_site_type_symbol
_atom_site_fract_x
_atom_site_fract_y
_atom_site_fract_z
_atom_site_occupancy
Cs1 Cs 0.0000 0.0000 0.0000 1
Mn1 Mn 0.0000 0.5711 0.0000 1
Cu1 Cu 0.0000 0.0000 0.5000 1
Cu2 Cu 0.0000 0.4185 0.5000 1
Cl1 Cl 0.0000 0.5896 0.5000 1
Cl2 Cl 0.0000 0.8336 0.5000 1
Cl3 Cl 0.0602 0.2234 0.2047 1
```

D(E_F) = 20.63 states/eV per cell
ΔE_f (raw) = -17.68 eV/f.u.

Number 1: V 26.1 Å³ per atom, raw total energy -68.3 eV per formula unit. Number 2: V 26.8 Å³ per atom, raw total energy -33.1 eV per formula unit. Number 3: V 27.9 Å³ per atom, raw total energy -32.2 eV per formula unit. Number 4: V 25.8 Å³ per atom, raw total energy -84.6 eV per formula unit.